No. 1
! MgHg5S5, optimized geometry, DFT PBE; values from VASP
! Spin magnetization = 0.00 μB per atom
! Formation energy (no corrections) = -0.18 eV/atom
! Mass density = 7.49 g cm⁻³
! DFT total energy = -2.34 eV per atom
&SYSTEM
  ibrav = 0, nat = 11, ntyp = 3
/
ATOMIC_SPECIES
Hg 200.59 Hg.upf
S 32.06 S.upf
Mg 24.30 Mg.upf
ATOMIC_POSITIONS crystal
Hg 0.3473 0.6946 0.1701
Hg 0.0000 0.0000 0.5000
Hg 0.6778 0.3556 0.3222
Hg 0.6527 0.3054 0.8299
Hg 0.3222 0.6444 0.6778
S 0.8186 0.6372 0.6978
S 0.5000 0.0000 0.0000
S 0.1814 0.3628 0.3022
S 0.8737 0.7474 0.1917
S 0.1263 0.2526 0.8083
Mg 0.0000 0.0000 0.0000
CELL_PARAMETERS angstrom
5.5226 0.0000 0.0000
-2.7613 6.5224 -0.1533
0.0000 -2.6177 7.3707

No. 2
! MgHgS2, optimized geometry, DFT PBE; values from VASP
! Spin magnetization = 0.00 μB per atom
! Formation energy (no corrections) = -0.39 eV/atom
! Relative energy among the computed polymorphs = 378.7 meV per atom
! Mass density = 6.01 g cm⁻³
! DFT total energy = -2.93 eV per atom
&SYSTEM
  ibrav = 0, nat = 8, ntyp = 3
/
ATOMIC_SPECIES
S 32.06 S.upf
Hg 200.59 Hg.upf
Mg 24.30 Mg.upf
ATOMIC_POSITIONS crystal
S 0.1905 0.6905 0.0000
S 0.6905 0.8095 0.0000
S 0.3095 0.1905 0.0000
S 0.8095 0.3095 0.0000
Hg 0.7500 0.7500 0.5000
Hg 0.2500 0.2500 0.5000
Mg 0.2500 0.7500 0.5000
Mg 0.7500 0.2500 0.5000
CELL_PARAMETERS angstrom
6.9399 0.0000 0.0000
0.0000 6.9399 0.0000
3.4700 3.4700 3.3150

No. 3
! MgHgS2, optimized geometry, DFT PBE; values from VASP
! Spin magnetization = 0.00 μB per atom
! Formation energy (no corrections) = -0.12 eV/atom
! Relative energy among the computed polymorphs = 653.5 meV per atom
! Mass density = 6.21 g cm⁻³
! DFT total energy = -2.65 eV per atom
&SYSTEM
  ibrav = 0, nat = 4, ntyp = 3
/
ATOMIC_SPECIES
S 32.06 S.upf
Hg 200.59 Hg.upf
Mg 24.30 Mg.upf
ATOMIC_POSITIONS crystal
S 0.7500 0.7500 0.7500
S 0.2500 0.2500 0.2500
Hg 0.5000 0.5000 0.5000
Mg 0.0000 0.0000 0.0000
CELL_PARAMETERS angstrom
0.0000 3.3803 3.3803
3.3803 0.0000 3.3803
3.3803 3.3803 0.0000

No. 4
! MgHgS2, optimized geometry, DFT PBE; values from VASP
! Spin magnetization = 0.00 μB per atom
! Formation energy (no corrections) = -0.63 eV/atom
! Relative energy among the computed polymorphs = 136.8 meV per atom
! Mass density = 5.91 g cm⁻³
! DFT total energy = -3.17 eV per atom
&SYSTEM
  ibrav = 0, nat = 4, ntyp = 3
/
ATOMIC_SPECIES
Hg 200.59 Hg.upf
S 32.06 S.upf
Mg 24.30 Mg.upf
ATOMIC_POSITIONS crystal
Hg 0.0000 0.0000 0.0000
S 0.7273 0.7253 0.2747
S 0.2727 0.2747 0.7253
Mg 0.5000 0.5000 0.5000
CELL_PARAMETERS angstrom
6.8079 0.0000 0.7333
1.6456 1.9129 -2.9409
-1.6456 1.9129 2.9409